A plane-wave DFT calculation with PBE was carried out for crystalline AgPtBrN2 at its relaxed geometry.

Structure (CIF):
```
data_AgPtBrN2
_cell_length_a 3.7918
_cell_length_b 3.7918
_cell_length_c 6.4958
_cell_angle_alpha 90.00
_cell_angle_beta 90.00
_cell_angle_gamma 90.00
_space_group_name_H-M_alt 'P 4/m m m'
_space_group_IT_number 123
_space_group_name_Hall '-P 4 2'
loop_
_atom_site_label
_atom_site_fract_x
_atom_site_fract_y
_atom_site_fract_z
Ag1 0.0000 0.0000 0.0000
Pt1 0.5000 0.5000 0.0000
Br1 0.0000 0.0000 0.5000
N1 0.0000 0.5000 0.5000
```

Properties
ΔE to the lowest computed polymorph: 454 meV per atom
D(E_F): 4.6 states/eV/f.u.